# 1
A relaxed LiIn2Ni crystal, computed with PBE.

Output
magnetization = 0.00 μB per formula unit
space-group type = Fm-3m, No. 225
electronic total energy = -0.1292 hartree per atom

Lattice parameters (Å, degrees): 4.548 4.548 4.548 60.00 60.00 60.00
Sites, in units of the cell vectors:
Ni1 0.000 0.000 0.000
Li1 0.500 0.500 0.500
In1 0.750 0.750 0.750
In2 0.250 0.250 0.250

---

# 2
A relaxed La5Tb4Sn4 crystal, computed with PBE.

Output
magnetization = 0.00 μB per formula unit
space-group type = I4/m, No. 87
electronic total energy = -0.1876 hartree per atom

Lattice parameters (Å, degrees): 4.734 9.714 9.714 86.60 75.90 75.90
Sites, in units of the cell vectors:
La1 0.705 0.913 0.676
La2 0.295 0.087 0.324
La3 0.000 0.000 0.000
La4 0.619 0.676 0.087
La5 0.381 0.324 0.913
Tb1 0.905 0.501 0.689
Tb2 0.594 0.311 0.501
Tb3 0.095 0.499 0.311
Tb4 0.406 0.689 0.499
Sn1 0.762 0.316 0.160
Sn2 0.238 0.684 0.840
Sn3 0.922 0.840 0.316
Sn4 0.078 0.160 0.684

---

# 3
A relaxed Cr2HgPt crystal, computed with PBE.

Output
magnetization = 0.05 μB per formula unit
space-group type = I-4m2, No. 119
electronic total energy = -0.2316 hartree per atom

Lattice parameters (Å, degrees): 4.936 4.936 4.936 132.18 132.14 69.98
Site moments in Bohr magnetons follow the coordinates.
Sites, in units of the cell vectors:
Cr1 0.000 0.000 0.000  -3.25
Cr2 0.750 0.250 0.500  3.22
Hg1 0.500 0.500 0.000  -0.01
Pt1 0.250 0.750 0.500  -0.01

---

# 4
A relaxed Cs2RhCI6 crystal, computed with PBE.

Output
E_form (uncorrected) = -107 kJ/mol of formula units
magnetization = 1.20 μB per formula unit
space-group type = I4/mmm, No. 139

Lattice parameters (Å, degrees): 7.622 7.622 8.406 63.04 63.04 90.00
Site moments in Bohr magnetons follow the coordinates.
Sites, in units of the cell vectors:
Cs1 0.750 0.250 0.500  0.00
Cs2 0.250 0.750 0.500  0.00
I1 0.209 0.209 0.582  0.00
I2 0.791 0.791 0.418  0.00
I3 0.259 0.259 0.000  0.02
I4 0.741 0.741 0.000  0.02
I5 0.741 0.259 0.000  0.02
I6 0.259 0.741 0.000  0.02
C1 0.500 0.500 0.000  0.41
Rh1 0.000 0.000 0.000  0.27

---

# 5
A relaxed Ac8Tb2Mg crystal, computed with PBE.

Output
magnetization = 0.00 μB per formula unit
space-group type = Immm, No. 71
electronic total energy = -0.1414 hartree per atom

Lattice parameters (Å, degrees): 5.800 9.707 9.961 119.15 106.92 90.00
Sites, in units of the cell vectors:
Ac1 0.658 0.874 0.315
Ac2 0.343 0.559 0.685
Ac3 0.145 0.145 0.289
Ac4 0.000 0.314 0.000
Ac5 0.855 0.855 0.711
Ac6 0.657 0.441 0.315
Ac7 0.342 0.126 0.685
Ac8 0.000 0.686 0.000
Tb1 0.201 0.701 0.403
Tb2 0.799 0.299 0.597
Mg1 0.500 0.000 0.000

---

# 6
A relaxed Ti8P2N crystal, computed with PBE.

Output
E_form (uncorrected) = -673 kJ/mol of formula units
magnetization = 0.00 μB per formula unit
space-group type = C2/m, No. 12

Lattice parameters (Å, degrees): 4.295 5.287 7.733 111.45 106.12 90.00
Sites, in units of the cell vectors:
Ti1 0.416 0.565 0.833
Ti2 0.635 0.987 0.270
Ti3 0.778 0.691 0.557
Ti4 0.989 0.228 0.978
Ti5 0.222 0.309 0.443
Ti6 0.365 0.013 0.730
Ti7 0.584 0.435 0.167
Ti8 0.011 0.772 0.022
P1 0.831 0.288 0.663
P2 0.169 0.712 0.337
N1 0.500 0.000 0.000

---

# 7
A relaxed CaAc2DySe5 crystal, computed with PBE.

Output
E_form (uncorrected) = -1396 kJ/mol of formula units
magnetization = 0.00 μB per formula unit
space-group type = P4/mmm, No. 123

Lattice parameters (Å, degrees): 5.183 5.183 10.944 90.00 90.00 90.00
Sites, in units of the cell vectors:
Ca1 0.000 0.000 0.000
Ac1 0.500 0.500 0.292
Ac2 0.500 0.500 0.708
Dy1 0.000 0.000 0.500
Se1 0.000 0.500 0.500
Se2 0.500 0.000 0.500
Se3 0.000 0.000 0.755
Se4 0.000 0.000 0.245
Se5 0.500 0.500 0.000

---

# 8
A relaxed Gd2MnRu crystal, computed with PBE.

Output
energy above the most stable polymorph in this dataset = 61 meV/atom
magnetization = 17.53 μB per formula unit
space-group type = Fm-3m, No. 225

Lattice parameters (Å, degrees): 4.946 4.946 4.946 60.00 60.00 60.00
Site moments in Bohr magnetons follow the coordinates.
Sites, in units of the cell vectors:
Ru1 0.500 0.500 0.500  0.03
Gd1 0.250 0.250 0.250  6.89
Gd2 0.750 0.750 0.750  6.89
Mn1 0.000 0.000 0.000  3.50

---

# 9
A relaxed Ag4HgSe2 crystal, computed with PBE.

Output
E_form (uncorrected) = -11 kJ/mol of formula units
magnetization = 0.00 μB per formula unit
space-group type = P1, No. 1

Lattice parameters (Å, degrees): 6.827 6.597 9.023 104.18 106.45 114.98
Sites, in units of the cell vectors:
Ag1 0.280 0.788 0.681
Ag2 0.826 0.482 0.953
Ag3 0.244 0.490 0.254
Ag4 0.683 0.825 0.609
Ag5 0.112 0.915 0.264
Ag6 0.764 0.003 0.354
Ag7 0.076 0.328 0.752
Ag8 0.520 0.226 0.199
Hg1 0.606 0.229 0.577
Hg2 0.815 0.973 0.973
Se1 0.294 0.730 0.069
Se2 0.388 0.209 0.887
Se3 0.872 0.668 0.418
Se4 0.269 0.384 0.511

---

# 10
A relaxed CaCdOs2 crystal, computed with PBE.

Output
magnetization = 0.00 μB per formula unit
space-group type = Imm2, No. 44
electronic total energy = -0.2138 hartree per atom

Lattice parameters (Å, degrees): 6.000 6.000 6.000 151.68 131.15 57.43
Sites, in units of the cell vectors:
Ca1 0.513 0.513 0.000
Os1 0.981 0.981 0.000
Os2 0.786 0.286 0.500
Cd1 0.220 0.720 0.500

---

# 11
A relaxed Pm4Pb2I3 crystal, computed with PBE.

Output
energy above the most stable polymorph in this dataset = 0 meV/atom
E_form (uncorrected) = -798 kJ/mol of formula units
magnetization = 0.00 μB per formula unit
space-group type = C2/m, No. 12

Lattice parameters (Å, degrees): 4.553 4.553 18.659 90.05 89.95 120.00
Sites, in units of the cell vectors:
Pm1 0.334 0.666 0.890
Pm2 0.999 0.001 0.295
Pm3 0.001 0.999 0.705
Pm4 0.666 0.334 0.110
Pb1 0.667 0.333 0.800
Pb2 0.333 0.667 0.200
I1 0.666 0.334 0.398
I2 0.000 0.000 0.000
I3 0.334 0.666 0.602

---

# 12
A relaxed TaF crystal, computed with PBE.

Output
energy above the most stable polymorph in this dataset = 233 meV/atom
E_form (uncorrected) = -276 kJ/mol of formula units
magnetization = 0.00 μB per formula unit
space-group type = P6_3/m, No. 176

Lattice parameters (Å, degrees): 8.092 8.092 2.999 90.00 90.00 120.00
Sites, in units of the cell vectors:
Ta1 0.128 0.457 0.250
Ta2 0.671 0.128 0.750
Ta3 0.543 0.671 0.250
Ta4 0.872 0.543 0.750
Ta5 0.329 0.872 0.250
Ta6 0.457 0.329 0.750
F1 0.871 0.145 0.250
F2 0.727 0.871 0.750
F3 0.855 0.727 0.250
F4 0.129 0.855 0.750
F5 0.273 0.129 0.250
F6 0.145 0.273 0.750

---

# 13
A relaxed KLaHf3 crystal, computed with PBE.

Output
energy above the most stable polymorph in this dataset = 0 meV/atom
magnetization = 0.00 μB per formula unit
space-group type = Pm-3m, No. 221

Lattice parameters (Å, degrees): 5.406 5.406 5.406 90.00 90.00 90.00
Sites, in units of the cell vectors:
K1 0.500 0.500 0.500
Hf1 0.000 0.500 0.000
Hf2 0.000 0.000 0.500
Hf3 0.500 0.000 0.000
La1 0.000 0.000 0.000

---

# 14
A relaxed ErVP2 crystal, computed with PBE.

Output
magnetization = 1.48 μB per formula unit
space-group type = R-3m, No. 166
electronic total energy = -0.2613 hartree per atom

Lattice parameters (Å, degrees): 3.728 3.728 6.308 72.82 72.82 60.00
Site moments in Bohr magnetons follow the coordinates.
Sites, in units of the cell vectors:
P1 0.263 0.263 0.212  -0.06
P2 0.737 0.737 0.788  -0.06
V1 0.000 0.000 0.000  1.46
Er1 0.500 0.500 0.500  -0.05

---

# 15
A relaxed MgIn6Ag12 crystal, computed with PBE.

Output
magnetization = 0.00 μB per formula unit
space-group type = R-3, No. 148
electronic total energy = -0.1014 hartree per atom

Lattice parameters (Å, degrees): 7.733 7.733 7.733 106.28 106.28 106.28
Sites, in units of the cell vectors:
Mg1 0.000 0.000 0.000
In1 0.089 0.201 0.473
In2 0.799 0.527 0.911
In3 0.527 0.911 0.799
In4 0.911 0.799 0.527
In5 0.201 0.473 0.089
In6 0.473 0.089 0.201
Ag1 0.477 0.185 0.590
Ag2 0.185 0.590 0.477
Ag3 0.590 0.477 0.185
Ag4 0.523 0.815 0.410
Ag5 0.815 0.410 0.523
Ag6 0.410 0.523 0.815
Ag7 0.265 0.143 0.843
Ag8 0.157 0.735 0.857
Ag9 0.857 0.157 0.735
Ag10 0.735 0.857 0.157
Ag11 0.843 0.265 0.143
Ag12 0.143 0.843 0.265

---

# 16
A relaxed Pm3Ga2 crystal, computed with PBE.

Output
energy above the most stable polymorph in this dataset = 33 meV/atom
magnetization = 0.00 μB per formula unit
space-group type = I4/mmm, No. 139

Lattice parameters (Å, degrees): 3.523 3.523 11.150 99.09 99.09 90.00
Sites, in units of the cell vectors:
Pm1 0.000 0.000 0.000
Pm2 0.182 0.182 0.365
Pm3 0.818 0.818 0.635
Ga1 0.407 0.407 0.814
Ga2 0.593 0.593 0.186

---

# 17
A relaxed PmNd2Zr crystal, computed with PBE.

Output
energy above the most stable polymorph in this dataset = 0 meV/atom
magnetization = 0.00 μB per formula unit
space-group type = R3m, No. 160

Lattice parameters (Å, degrees): 3.529 3.529 11.754 81.37 81.37 60.00
Sites, in units of the cell vectors:
Pm1 0.499 0.499 0.503
Nd1 0.078 0.078 0.767
Nd2 0.256 0.256 0.232
Zr1 0.667 0.667 0.999

---

# 18
A relaxed Sr2ScTa crystal, computed with PBE.

Output
energy above the most stable polymorph in this dataset = 318 meV/atom
magnetization = 2.81 μB per formula unit
space-group type = I-4m2, No. 119

Lattice parameters (Å, degrees): 5.554 5.554 5.554 120.15 120.15 89.75
Site moments in Bohr magnetons follow the coordinates.
Sites, in units of the cell vectors:
Sc1 0.750 0.250 0.500  0.31
Sr1 0.000 0.000 0.000  0.01
Sr2 0.250 0.750 0.500  0.04
Ta1 0.500 0.500 0.000  1.31

---

# 19
A relaxed NaMg2Cd2 crystal, computed with PBE.

Output
energy above the most stable polymorph in this dataset = 71 meV/atom
magnetization = 0.00 μB per formula unit
space-group type = I4/mmm, No. 139

Lattice parameters (Å, degrees): 4.368 4.368 7.547 73.18 73.18 90.00
Sites, in units of the cell vectors:
Na1 0.000 0.000 0.000
Mg1 0.750 0.250 0.500
Mg2 0.250 0.750 0.500
Cd1 0.398 0.398 0.204
Cd2 0.602 0.602 0.796

---

# 20
A relaxed PrYMgGe crystal, computed with PBE.

Output
magnetization = 0.00 μB per formula unit
space-group type = F-43m, No. 216
electronic total energy = -0.1741 hartree per atom

Lattice parameters (Å, degrees): 5.237 5.237 5.237 60.00 60.00 60.00
Sites, in units of the cell vectors:
Pr1 0.000 0.000 0.000
Y1 0.500 0.500 0.500
Ge1 0.250 0.250 0.250
Mg1 0.750 0.750 0.750

---

# 21
A relaxed Pr5In2Hg crystal, computed with PBE.

Output
magnetization = 0.00 μB per formula unit
space-group type = I4/mcm, No. 140
electronic total energy = -0.1481 hartree per atom

Lattice parameters (Å, degrees): 8.227 8.227 9.570 115.46 115.46 90.00
Sites, in units of the cell vectors:
Pr1 0.517 0.678 0.695
Pr2 0.822 0.983 0.305
Pr3 0.000 0.000 0.000
Pr4 0.500 0.500 0.000
Pr5 0.178 0.017 0.695
Pr6 0.678 0.178 0.695
Pr7 0.017 0.517 0.695
Pr8 0.322 0.822 0.305
Pr9 0.983 0.483 0.305
Pr10 0.483 0.322 0.305
In1 0.125 0.375 0.000
In2 0.625 0.125 0.000
In3 0.375 0.875 0.000
In4 0.875 0.625 0.000
Hg1 0.750 0.750 0.500
Hg2 0.250 0.250 0.500

---

# 22
A relaxed BaOs2Rh crystal, computed with PBE.

Output
energy above the most stable polymorph in this dataset = 255 meV/atom
magnetization = 0.00 μB per formula unit
space-group type = Pmm2, No. 25

Lattice parameters (Å, degrees): 2.885 3.660 7.606 90.00 90.00 90.00
Sites, in units of the cell vectors:
Ba1 0.500 0.500 0.745
Os1 0.000 0.000 0.084
Os2 0.500 0.500 0.237
Rh1 0.000 0.000 0.433

---

# 23
A relaxed CoPb crystal, computed with PBE.

Output
magnetization = 0.19 μB per formula unit
space-group type = F-43m, No. 216
electronic total energy = -0.1616 hartree per atom

Lattice parameters (Å, degrees): 4.157 4.157 4.157 60.00 60.00 60.00
Site moments in Bohr magnetons follow the coordinates.
Sites, in units of the cell vectors:
Co1 0.000 0.000 0.000  0.24
Pb1 0.750 0.750 0.750  -0.03

---

# 24
A relaxed Ba2ZnWCl crystal, computed with PBE.

Output
E_form (uncorrected) = 161 kJ/mol of formula units
magnetization = 3.18 μB per formula unit
space-group type = P4/mmm, No. 123

Lattice parameters (Å, degrees): 6.364 4.851 6.364 90.00 90.00 90.00
Site moments in Bohr magnetons follow the coordinates.
Sites, in units of the cell vectors:
Zn1 0.000 0.000 0.000  0.03
Ba1 0.000 0.000 0.500  0.00
Ba2 0.500 0.000 0.000  -0.03
W1 0.000 0.500 0.000  2.33
Cl1 0.500 0.500 0.500  0.01

---

# 25
A relaxed KDySb2Au2 crystal, computed with PBE.

Output
E_form (uncorrected) = -402 kJ/mol of formula units
magnetization = 0.00 μB per formula unit
space-group type = P-3m1, No. 164

Lattice parameters (Å, degrees): 4.656 4.656 9.207 90.00 90.00 120.00
Sites, in units of the cell vectors:
K1 0.000 0.000 0.000
Dy1 0.000 0.000 0.500
Sb1 0.667 0.333 0.271
Sb2 0.333 0.667 0.729
Au1 0.667 0.333 0.672
Au2 0.333 0.667 0.328